# 1
DFT (GGA-PBE) results for Al2ZnOs after structural relaxation.

Unit cell a=3.193 b=3.193 c=5.602 alpha=90.00 beta=90.00 gamma=90.00
Space group P4/mmm (No. 123)
Inequivalent atoms, fractional coordinates:
Al 0.000 0.000 0.242 [2 per cell]
Zn 0.500 0.500 0.500 [1 per cell]
Os 0.500 0.500 0.000 [1 per cell]

Values from the calculation:
Its formation energy from the elements is -0.30 eV per atom. As for the density of states at the Fermi level: 1.3 states/eV/cell. For the uncorrected energy, the calculation gives -5.296 eV per atom.

# 2
DFT (GGA-PBE) results for RbPuAlS4 after structural relaxation.

Unit cell a=6.540 b=6.588 c=9.177 alpha=90.00 beta=108.50 gamma=90.00
Space group P2_1/m (No. 11)
Inequivalent atoms, fractional coordinates:
Rb 0.234 0.250 0.443 [2 per cell]
Pu 0.275 0.250 0.949 [2 per cell]
Al 0.267 0.750 0.162 [2 per cell]
S 0.041 0.750 0.921 [2 per cell]
S 0.066 0.750 0.317 [2 per cell]
S 0.492 0.506 0.806 [4 per cell]

Values from the calculation:
As for the uncorrected formation energy: -1.27 eV per atom. As for the density of states at the Fermi level: 17.3 states/eV/cell. For the uncorrected energy, the calculation gives -6.354 eV per atom.

# 3
DFT (GGA-PBE) results for Ti6Nb5Pt after structural relaxation.

Unit cell a=7.986 b=13.618 c=4.592 alpha=90.00 beta=124.96 gamma=90.00
Space group C2/m (No. 12)
Inequivalent atoms, fractional coordinates:
Ti 0.239 0.000 0.239 [4 per cell]
Ti 0.245 0.163 0.745 [8 per cell]
Nb 0.000 0.173 0.000 [4 per cell]
Nb 0.000 0.339 0.500 [4 per cell]
Nb 0.000 0.500 0.000 [2 per cell]
Pt 0.000 0.000 0.500 [2 per cell]

Values from the calculation:
Its formation energy from the elements is -0.16 eV per atom. As for the density of states at the Fermi level: 40.1 states/eV/cell. For the uncorrected energy, the calculation gives -8.806 eV per atom.

# 4
DFT (GGA-PBE) results for K3CaSb after structural relaxation.

Unit cell a=6.764 b=6.764 c=6.764 alpha=90.00 beta=90.00 gamma=90.00
Space group Pm-3m (No. 221)
Inequivalent atoms, fractional coordinates:
K 0.000 0.000 0.500 [3 per cell]
Ca 0.000 0.000 0.000 [1 per cell]
Sb 0.500 0.500 0.500 [1 per cell]

Values from the calculation:
As for the uncorrected formation energy: 0.63 eV per atom. As for the distance to the lowest polymorph of the same formula: 621 meV per atom. As for the density of states at the Fermi level: 0.5 states/eV/cell. For the uncorrected energy, the calculation gives -1.254 eV per atom.

What did the second record say?
DFT (GGA-PBE) results for RbPuAlS4 after structural relaxation.

Unit cell a=6.540 b=6.588 c=9.177 alpha=90.00 beta=108.50 gamma=90.00
Space group P2_1/m (No. 11)
Inequivalent atoms, fractional coordinates:
Rb 0.234 0.250 0.443 [2 per cell]
Pu 0.275 0.250 0.949 [2 per cell]
Al 0.267 0.750 0.162 [2 per cell]
S 0.041 0.750 0.921 [2 per cell]
S 0.066 0.750 0.317 [2 per cell]
S 0.492 0.506 0.806 [4 per cell]

Values from the calculation:
As for the uncorrected formation energy: -1.27 eV per atom. As for the density of states at the Fermi level: 17.3 states/eV/cell. For the uncorrected energy, the calculation gives -6.354 eV per atom.